[1]
GGA-PBE PmDy2Te, relaxed; Fermi-level density of states = 10.5 states/eV/cell; V = 241 Å³/cell; energy relative to the lowest polymorph listed for this composition = 0 meV/atom; space group = Cmcm (63)
1.0
1.990 -6.097 0.000
1.990 6.097 0.000
0.000 0.000 9.919
Pm Dy Te
2 4 2
direct
0.056 0.944 0.750
0.944 0.056 0.250
0.364 0.636 0.535
0.364 0.636 0.965
0.636 0.364 0.035
0.636 0.364 0.465
0.232 0.768 0.250
0.768 0.232 0.750

***

[2]
GGA-PBE ReTcRh, relaxed; Fermi-level density of states = 11.0 states/eV/cell; V = 175 Å³/cell; energy relative to the lowest polymorph listed for this composition = 0 meV/atom; space group = P2_1/c (14); energy relative to the elements = -0.090 eV/atom
1.0
6.800 0.000 0.000
0.000 5.537 0.000
-1.113 0.000 4.644
Re Tc Rh
4 4 4
direct
0.160 0.125 0.471
0.160 0.375 0.971
0.840 0.625 0.029
0.840 0.875 0.529
0.160 0.625 0.469
0.160 0.875 0.969
0.840 0.125 0.031
0.840 0.375 0.531
0.499 0.625 0.248
0.499 0.875 0.748
0.501 0.125 0.252
0.501 0.375 0.752

***

[3]
GGA-PBE LiCdPt3, relaxed; Fermi-level density of states = 4.6 states/eV/cell; V = 80 Å³/cell; energy relative to the lowest polymorph listed for this composition = 0 meV/atom; space group = Pm-3m (221); energy relative to the elements = 0.198 eV/atom
1.0
4.313 0.000 0.000
0.000 4.313 0.000
0.000 0.000 4.313
Li Cd Pt
1 1 3
direct
0.000 0.000 0.000
0.500 0.500 0.500
0.000 0.000 0.500
0.000 0.500 0.000
0.500 0.000 0.000

***

[4]
GGA-PBE ErTiCd4, relaxed; Fermi-level density of states = 4.9 states/eV/cell; V = 134 Å³/cell; space group = F-43m (216); energy relative to the elements = -0.030 eV/atom
1.0
0.000 4.057 4.057
4.057 0.000 4.057
4.057 4.057 0.000
Er Ti Cd
1 1 4
direct
0.000 0.000 0.000
0.250 0.250 0.250
0.126 0.625 0.625
0.625 0.126 0.625
0.625 0.625 0.126
0.625 0.625 0.625

***

[5]
GGA-PBE CdHg8Pb3, relaxed; Fermi-level density of states = 9.6 states/eV/cell; V = 720 Å³/cell; space group = P6_3mc (186); energy relative to the elements = 0.083 eV/atom
1.0
6.951 0.000 0.000
-3.475 6.020 0.000
0.000 0.000 17.211
Cd Hg Pb
2 16 6
direct
0.333 0.667 0.000
0.667 0.333 0.500
0.000 0.000 0.460
0.000 0.000 0.960
0.049 0.525 0.402
0.164 0.328 0.120
0.164 0.836 0.120
0.328 0.164 0.620
0.333 0.667 0.584
0.475 0.525 0.402
0.475 0.951 0.402
0.525 0.049 0.902
0.525 0.475 0.902
0.667 0.333 0.084
0.672 0.836 0.120
0.836 0.164 0.620
0.836 0.672 0.620
0.951 0.475 0.902
0.164 0.327 0.766
0.164 0.836 0.766
0.327 0.164 0.266
0.673 0.836 0.766
0.836 0.164 0.266
0.836 0.673 0.266

***

[6]
GGA-PBE Rb2COF6, relaxed; Fermi-level density of states = 16.0 states/eV/cell; V = 154 Å³/cell; space group = I4/mmm (139); raw total energy = -4.080 eV/atom
1.0
-3.048 3.048 4.130
3.048 -3.048 4.130
3.048 3.048 -4.130
Rb C O F
2 1 1 6
direct
0.250 0.750 0.500
0.750 0.250 0.500
0.000 0.000 0.000
0.500 0.500 0.000
0.183 0.183 0.365
0.183 0.817 0.000
0.194 0.194 0.000
0.806 0.806 0.000
0.817 0.183 0.000
0.817 0.817 0.635

***

[7]
GGA-PBE RbNaCd, relaxed; Fermi-level density of states = 4.3 states/eV/cell; V = 385 Å³/cell; energy relative to the lowest polymorph listed for this composition = 12 meV/atom; space group = Amm2 (38); energy relative to the elements = -0.012 eV/atom
1.0
5.410 0.000 0.000
0.000 7.865 4.528
0.000 -7.865 4.528
Rb Na Cd
3 3 3
direct
0.000 0.000 0.000
0.000 0.166 0.583
0.000 0.583 0.166
0.500 0.348 0.348
0.500 0.583 0.818
0.500 0.818 0.583
0.000 0.582 0.582
0.500 0.249 0.917
0.500 0.917 0.249

***

[8]
GGA-PBE Nd2Hg3Ge, relaxed; Fermi-level density of states = 3.6 states/eV/cell; V = 151 Å³/cell; space group = Pmm2 (25); energy relative to the elements = -0.448 eV/atom
1.0
3.609 0.000 0.000
0.000 4.974 0.000
0.000 0.000 8.416
Nd Hg Ge
2 3 1
direct
0.000 0.000 0.000
0.000 0.500 0.476
0.500 0.000 0.649
0.500 0.500 0.154
0.500 0.500 0.814
0.500 0.000 0.319

***

[9]
GGA-PBE ReHg, relaxed; Fermi-level density of states = 0.8 states/eV/cell; V = 35 Å³/cell; energy relative to the lowest polymorph listed for this composition = 885 meV/atom; space group = Pm-3m (221); energy relative to the elements = 1.277 eV/atom
1.0
3.257 0.000 0.000
0.000 3.257 0.000
0.000 0.000 3.257
Re Hg
1 1
direct
0.000 0.000 0.000
0.500 0.500 0.500

***

[10]
GGA-PBE BeRhF, relaxed; Fermi-level density of states = 4.2 states/eV/cell; V = 38 Å³/cell; energy relative to the lowest polymorph listed for this composition = 1731 meV/atom; space group = F-43m (216)
1.0
0.000 2.676 2.676
2.676 0.000 2.676
2.676 2.676 0.000
Be Rh F
1 1 1
direct
0.000 0.000 0.000
0.500 0.500 0.500
0.750 0.750 0.750

***

[11]
GGA-PBE CoGe2N, relaxed; Fermi-level density of states = 0.0 states/eV/cell; V = 112 Å³/cell; space group = I-42d (122); raw total energy = -5.925 eV/atom
1.0
-2.674 2.674 3.911
2.674 -2.674 3.911
2.674 2.674 -3.911
Co Ge N
2 4 2
direct
0.000 0.000 0.000
0.750 0.250 0.500
0.171 0.625 0.046
0.375 0.421 0.546
0.579 0.125 0.954
0.875 0.829 0.454
0.250 0.750 0.500
0.500 0.500 0.000

***

[12]
GGA-PBE MgZnCd2Ag, relaxed; Fermi-level density of states = 2.6 states/eV/cell; V = 204 Å³/cell; energy relative to the lowest polymorph listed for this composition = 0 meV/atom; space group = Cmcm (63); energy relative to the elements = 0.010 eV/atom
1.0
1.574 -6.932 0.000
1.574 6.932 0.000
0.000 0.000 9.325
Mg Zn Cd Ag
2 2 4 2
direct
0.021 0.979 0.750
0.979 0.021 0.250
0.500 0.500 0.000
0.500 0.500 0.500
0.314 0.686 0.092
0.314 0.686 0.408
0.686 0.314 0.592
0.686 0.314 0.908
0.346 0.654 0.750
0.654 0.346 0.250

***

Question: The highest Fermi-level density of states belongs to which entry?
Answer: Rb2COF6

***

Question: Among the records above, which one has the lowest Fermi-level density of states?
Answer: CoGe2N

***

Question: What is the formula in the eighth record?
Answer: Nd2Hg3Ge

***

Repeat the tenth record exactly.
GGA-PBE BeRhF, relaxed; Fermi-level density of states = 4.2 states/eV/cell; V = 38 Å³/cell; energy relative to the lowest polymorph listed for this composition = 1731 meV/atom; space group = F-43m (216)
1.0
0.000 2.676 2.676
2.676 0.000 2.676
2.676 2.676 0.000
Be Rh F
1 1 1
direct
0.000 0.000 0.000
0.500 0.500 0.500
0.750 0.750 0.750